## Na2CdBi2 (PBE)

Data for crystalline Na2CdBi2 at its relaxed geometry.

Cell and atoms, written as extended XYZ:
```
10
Lattice="9.529 0.000 0.000 0.000 9.529 0.000 0.000 0.000 3.390" Properties=species:S:1:pos:R:3 pbc="T T T"
Na 1.677 3.087 0.000
Na 3.087 7.852 0.000
Na 6.442 1.677 0.000
Na 7.852 6.442 0.000
Cd 0.000 0.000 1.695
Cd 4.764 4.764 1.695
Bi 1.140 5.905 1.695
Bi 3.624 1.140 1.695
Bi 5.905 8.389 1.695
Bi 8.389 3.624 1.695
```

Output
- space group = No. 127
- calculated volume (Å³/cell) = 307.9
- energy relative to the lowest polymorph listed for this composition (eV per atom) = 0.121
- ΔH_f (0 K) (meV per atom) = -105

=====

## CaTbZnRu (PBE)

Data for crystalline CaTbZnRu at its relaxed geometry.

Cell and atoms, written as extended XYZ:
```
16
Lattice="6.991 0.000 0.000 0.000 6.991 0.000 0.000 0.000 6.991" Properties=species:S:1:pos:R:3 pbc="T T T"
Ca 0.000 0.000 0.000
Ca 0.000 3.495 3.495
Ca 3.495 0.000 3.495
Ca 3.495 3.495 0.000
Tb 0.000 0.000 3.495
Tb 0.000 3.495 0.000
Tb 3.495 0.000 0.000
Tb 3.495 3.495 3.495
Zn 1.748 1.748 1.748
Zn 1.748 5.243 5.243
Zn 5.243 1.748 5.243
Zn 5.243 5.243 1.748
Ru 1.748 1.748 5.243
Ru 1.748 5.243 1.748
Ru 5.243 1.748 1.748
Ru 5.243 5.243 5.243
```

Output
- space group = No. 216
- calculated volume (Å³/cell) = 341.7
- ΔH_f (0 K) (meV per atom) = -127

=====

## Mg5Si6 (PBE)

Data for crystalline Mg5Si6 at its relaxed geometry.

Cell and atoms, written as extended XYZ:
```
22
Lattice="13.051 -1.996 0.000 13.051 1.996 0.000 -0.137 0.000 8.081" Properties=species:S:1:pos:R:3 pbc="T T T"
Mg 0.000 0.000 0.000
Mg -0.042 0.000 3.442
Mg 2.998 0.000 1.587
Mg 3.437 0.000 6.615
Mg 6.862 0.000 5.631
Mg 7.011 0.000 2.485
Mg 10.140 0.000 7.438
Mg 10.330 0.000 4.048
Mg 15.356 0.000 4.161
Mg 20.934 0.000 0.105
Si 4.163 0.000 4.070
Si 5.804 0.000 0.099
Si 11.765 0.000 1.773
Si 12.996 0.000 5.633
Si 14.130 0.000 1.612
Si 14.760 0.000 7.359
Si 18.091 0.000 1.412
Si 18.589 0.000 3.885
Si 21.672 0.000 3.193
Si 22.120 0.000 5.600
Si 23.415 0.000 1.506
Si 24.553 0.000 5.827
```

Output
- space group = No. 8
- calculated volume (Å³/cell) = 421.1
- energy relative to the lowest polymorph listed for this composition (eV per atom) = 0.056

=====

## Ti2InSb2 (PBE)

Data for crystalline Ti2InSb2 at its relaxed geometry.

Cell and atoms, written as extended XYZ:
```
10
Lattice="4.585 0.000 0.000 0.000 4.585 0.000 0.000 0.000 11.933" Properties=species:S:1:pos:R:3 pbc="T T T"
Ti 0.000 2.293 2.983
Ti 0.000 2.293 8.950
Ti 2.293 0.000 2.983
Ti 2.293 0.000 8.950
In 0.000 0.000 0.000
In 2.293 2.293 5.967
Sb 0.000 0.000 4.486
Sb 0.000 0.000 7.447
Sb 2.293 2.293 1.481
Sb 2.293 2.293 10.453
```

Output
- space group = No. 139
- calculated volume (Å³/cell) = 250.9
- energy relative to the lowest polymorph listed for this composition (eV per atom) = 0.215

=====

## Tl5InO4 (PBE)

Data for crystalline Tl5InO4 at its relaxed geometry.

Cell and atoms, written as extended XYZ:
```
10
Lattice="8.484 -1.728 0.000 8.484 1.728 0.000 -1.473 0.000 7.533" Properties=species:S:1:pos:R:3 pbc="T T T"
Tl 0.000 0.000 0.000
Tl 5.518 0.000 1.577
Tl 4.952 0.000 5.089
Tl 10.545 0.000 2.443
Tl 9.978 0.000 5.956
In -0.736 0.000 3.766
O 1.438 0.000 4.117
O 7.981 0.000 2.296
O 7.515 0.000 5.237
O 14.059 0.000 3.416
```

Output
- space group = No. 12
- calculated volume (Å³/cell) = 220.9
- E (eV per cell) = -42.5

=====

## TbSmPa2Sb4 (PBE)

Data for crystalline TbSmPa2Sb4 at its relaxed geometry.

Cell and atoms, written as extended XYZ:
```
8
Lattice="7.604 0.000 0.000 0.000 4.392 0.000 -2.538 0.000 7.233" Properties=species:S:1:pos:R:3 pbc="T T T"
Tb 0.000 0.000 0.000
Sm 3.802 2.196 0.000
Pa -1.269 2.196 3.616
Pa 2.533 0.000 3.616
Sb -0.018 0.000 5.401
Sb 1.251 2.196 1.820
Sb 3.815 2.196 5.413
Sb 5.084 0.000 1.832
```

Output
- space group = No. 10
- calculated volume (Å³/cell) = 241.5
- E (eV per cell) = -51.1